No. 1
# BeTcMo2

A relaxed structure of BeTcMo2 (GGA-PBE, Alexandria).

Calculated values
The total magnetization comes out at 0.00 μB per cell. The total energy comes out at -34.748 eV per cell. The formation enthalpy at 0 K comes out at 24.3 kJ per mole of atoms.

a b c (Å): 8.7074 8.7074 8.7074
angles (deg): 18.30 18.30 18.30
Last column: nearest neighbours and their distance in Å.
Atoms (fractional coordinates):
Be: 0.7500 0.7500 0.7500  6 Mo 2.59, 6 Be 2.77
Mo: 0.0038 0.0038 0.0038  3 Be 2.59, 3 Tc 2.75, 6 Mo 2.77
Mo: 0.4962 0.4962 0.4962  3 Be 2.59, 3 Tc 2.75, 6 Mo 2.77
Tc: 0.2500 0.2500 0.2500  6 Mo 2.75, 6 Tc 2.77

---

No. 2
# AgPd3Pb

A relaxed structure of AgPd3Pb (GGA-PBE, Alexandria).

Calculated values
The total magnetization comes out at 0.00 μB per cell. The total energy comes out at -18.393 eV per cell. The formation enthalpy at 0 K comes out at 72.3 kJ per mole of atoms. The value obtained for the distance to the lowest polymorph of the same formula is 0.898 eV per atom.

a b c (Å): 4.9426 4.9426 4.9426
angles (deg): 90.00 90.00 90.00
Last column: nearest neighbours and their distance in Å.
Atoms (fractional coordinates):
Pb: 0.5000 0.5000 0.5000  12 Pd 3.49
Pd: 0.0000 0.5000 0.0000  2 Ag 2.47
Pd: 0.0000 0.0000 0.5000  2 Ag 2.47
Pd: 0.5000 0.0000 0.0000  2 Ag 2.47
Ag: 0.0000 0.0000 0.0000  6 Pd 2.47

---

No. 3
# TePd

A relaxed structure of TePd (GGA-PBE, Alexandria).

Calculated values
The total magnetization comes out at 0.00 μB per cell. The calculation puts the uncorrected formation energy at -0.15 eV per atom. The total energy comes out at -17.262 eV per cell.

a b c (Å): 4.0575 4.0575 7.6244
angles (deg): 90.00 90.00 120.00
Last column: nearest neighbours and their distance in Å.
Atoms (fractional coordinates):
Te: 0.3333 0.6667 0.7148  4 Pd 2.61-2.65
Te: 0.6667 0.3333 0.2148  4 Pd 2.61-2.65
Pd: 0.3333 0.6667 0.3672  4 Te 2.61-2.65
Pd: 0.6667 0.3333 0.8672  4 Te 2.61-2.65

---

No. 4
# KNa2AlH6

A relaxed structure of KNa2AlH6 (GGA-PBE, Alexandria).

Calculated values
The total magnetization comes out at 0.00 μB per cell. The total energy comes out at -29.356 eV per cell. The value obtained for the distance to the lowest polymorph of the same formula is 0.036 eV per atom.

a b c (Å): 5.8958 5.8958 5.8958
angles (deg): 56.41 56.41 56.41
Last column: nearest neighbours and their distance in Å.
Atoms (fractional coordinates):
K: 0.4746 0.4746 0.4746  3 H 2.44
Na: 0.2166 0.2166 0.2166  6 H 2.24-2.37
Na: 0.6980 0.6980 0.6980  3 H 2.16
Al: 0.0119 0.0119 0.0119  6 H 1.77-1.79
H: 0.3526 0.0438 0.8624  1 Al 1.77
H: 0.0438 0.8624 0.3526  1 Al 1.77
H: 0.9545 0.2129 0.6731  1 Al 1.79
H: 0.6731 0.9545 0.2129  1 Al 1.79
H: 0.8624 0.3526 0.0438  1 Al 1.77
H: 0.2129 0.6731 0.9545  1 Al 1.79

---

No. 5
# Pr2Ho12Tm

A relaxed structure of Pr2Ho12Tm (GGA-PBE, Alexandria).

Calculated values
The total magnetization comes out at 0.00 μB per cell. The total energy comes out at -133.007 eV per cell. The formation enthalpy at 0 K comes out at 15.8 kJ per mole of atoms.

a b c (Å): 6.6477 6.6477 24.7115
angles (deg): 89.97 90.03 64.01
Last column: nearest neighbours and their distance in Å.
Atoms (fractional coordinates):
Pr: 0.5000 0.0000 0.2666  2 Pr 3.52, 10 Ho 3.64-3.94
Pr: 0.0000 0.5000 0.2664  2 Pr 3.52, 10 Ho 3.64-3.94
Pr: 0.0000 0.5000 0.7334  2 Pr 3.52, 10 Ho 3.64-3.94
Pr: 0.5000 0.0000 0.7336  2 Pr 3.52, 10 Ho 3.64-3.94
Ho: 0.5001 0.4999 0.8030  7 Ho 3.21-3.52
Ho: 0.0001 0.9999 0.8030  7 Ho 3.21-3.52
Ho: 0.7500 0.7500 0.8761  8 Ho 3.35-3.53, 2 Tm 3.53
Ho: 0.2504 0.7496 0.9236  2 Tm 3.39, 9 Ho 3.46-3.78
Ho: 0.0001 0.9999 0.3269  7 Ho 3.21-3.56
Ho: 0.2496 0.7504 0.0764  2 Tm 3.39, 9 Ho 3.46-3.78
Ho: 0.7498 0.2510 0.5623  7 Ho 3.08-3.37
Ho: 0.5001 0.4999 0.3269  7 Ho 3.21-3.56
Ho: 0.2500 0.2500 0.8761  8 Ho 3.35-3.53, 2 Tm 3.53
Ho: 0.7500 0.7500 0.1239  8 Ho 3.35-3.53, 2 Tm 3.53
Ho: 0.2501 0.2499 0.5850  8 Ho 3.37-3.56
Ho: 0.7502 0.2490 0.4377  7 Ho 3.08-3.37
Ho: 0.9999 0.0001 0.6731  7 Ho 3.21-3.56
Ho: 0.2499 0.2501 0.4150  8 Ho 3.37-3.56
Ho: 0.2500 0.2500 0.1239  8 Ho 3.35-3.53, 2 Tm 3.53
Ho: 0.7506 0.7494 0.4150  8 Ho 3.37-3.56
Ho: 0.7494 0.7506 0.5850  8 Ho 3.37-3.56
Ho: 0.9999 0.0001 0.1970  7 Ho 3.21-3.52
Ho: 0.2490 0.7502 0.5623  7 Ho 3.08-3.37
Ho: 0.4999 0.5001 0.6731  7 Ho 3.21-3.56
Ho: 0.7504 0.2496 0.9236  2 Tm 3.39, 9 Ho 3.46-3.78
Ho: 0.4999 0.5001 0.1970  7 Ho 3.21-3.52
Ho: 0.2510 0.7498 0.4377  7 Ho 3.08-3.37
Ho: 0.7496 0.2504 0.0764  2 Tm 3.39, 9 Ho 3.46-3.78
Tm: 0.5000 0.0000 0.0000  8 Ho 3.39-3.53, 2 Tm 3.52
Tm: 0.0000 0.5000 0.0000  8 Ho 3.39-3.53, 2 Tm 3.52

---

No. 6
# Sc2SiSe

A relaxed structure of Sc2SiSe (GGA-PBE, Alexandria).

Calculated values
The total magnetization comes out at 0.00 μB per cell. The calculation puts the uncorrected formation energy at -0.64 eV per atom. The total energy comes out at -48.241 eV per cell. The value obtained for the distance to the lowest polymorph of the same formula is 0.613 eV per atom.

a b c (Å): 6.0213 6.0213 7.6058
angles (deg): 66.68 66.68 90.00
Last column: nearest neighbours and their distance in Å.
Atoms (fractional coordinates):
Sc: 0.6128 0.1250 0.2500  2 Si 2.61, 2 Se 2.69
Sc: 0.1372 0.6250 0.2500  2 Si 2.61, 2 Se 2.69
Sc: 0.3750 0.3872 0.7500  2 Si 2.61, 2 Se 2.69
Sc: 0.8750 0.8628 0.7500  2 Si 2.61, 2 Se 2.69
Si: 0.5000 0.5000 0.0000  4 Sc 2.61
Si: 0.2500 0.7500 0.5000  4 Sc 2.61
Se: 0.0000 0.0000 0.0000  4 Sc 2.69
Se: 0.7500 0.2500 0.5000  4 Sc 2.69

---

No. 7
# Mg2AgPd

A relaxed structure of Mg2AgPd (GGA-PBE, Alexandria).

Calculated values
The total magnetization comes out at 0.00 μB per cell. The total energy comes out at -10.978 eV per cell. The formation enthalpy at 0 K comes out at 6.2 kJ per mole of atoms.

a b c (Å): 6.0455 6.0455 6.0455
angles (deg): 57.91 151.81 130.53
Last column: nearest neighbours and their distance in Å.
Atoms (fractional coordinates):
Mg: 0.0000 0.2393 0.2393  1 Pd 2.53, 1 Ag 2.76
Mg: 0.0000 0.7607 0.7607  1 Pd 2.53, 1 Ag 2.76
Ag: 0.0000 0.5000 0.5000  2 Mg 2.76, 4 Pd 2.93, 2 Ag 2.94
Pd: 0.0000 0.0000 0.0000  2 Mg 2.53

---

No. 8
# KHf2Sb

A relaxed structure of KHf2Sb (GGA-PBE, Alexandria).

Calculated values
The total magnetization comes out at 0.00 μB per cell. The calculation puts the uncorrected formation energy at 0.79 eV per atom. The total energy comes out at -43.957 eV per cell.

a b c (Å): 8.7297 8.7297 6.9169
angles (deg): 50.87 50.87 90.00
Last column: nearest neighbours and their distance in Å.
Atoms (fractional coordinates):
Sb: 0.0000 0.0000 0.0000  4 Hf 2.87, 2 K 3.12
Sb: 0.7500 0.2500 0.5000  4 Hf 2.87, 2 K 3.12
K: 0.5000 0.5000 0.0000  2 Sb 3.12
K: 0.2500 0.7500 0.5000  2 Sb 3.12
Hf: 0.6807 0.1250 0.2500  2 Sb 2.87
Hf: 0.0693 0.6250 0.2500  2 Sb 2.87
Hf: 0.3750 0.3193 0.7500  2 Sb 2.87
Hf: 0.8750 0.9307 0.7500  2 Sb 2.87

---

No. 9
# La3PrCd4

A relaxed structure of La3PrCd4 (GGA-PBE, Alexandria).

Calculated values
The total magnetization comes out at 1.36 μB per cell. The total energy comes out at -25.818 eV per cell. The formation enthalpy at 0 K comes out at -31.3 kJ per mole of atoms.

a b c (Å): 3.9246 3.9246 15.7022
angles (deg): 90.00 90.00 90.00
Last column: nearest neighbours and their distance in Å.
Atoms (fractional coordinates):
Pr: 0.5000 0.5000 0.0000  8 Cd 3.36
Cd: 0.0000 0.0000 0.8789  4 Pr 3.36, 4 La 3.41
Cd: 0.0000 0.0000 0.1211  4 Pr 3.36, 4 La 3.41
Cd: 0.0000 0.0000 0.3741  8 La 3.41
Cd: 0.0000 0.0000 0.6259  8 La 3.41
La: 0.5000 0.5000 0.2478  8 Cd 3.41
La: 0.5000 0.5000 0.5000  8 Cd 3.41
La: 0.5000 0.5000 0.7522  8 Cd 3.41

---

No. 10
# KCdRuCl6

A relaxed structure of KCdRuCl6 (GGA-PBE, Alexandria).

Calculated values
The total magnetization comes out at 1.01 μB per cell. The calculation puts the uncorrected formation energy at -1.03 eV per atom. The total energy comes out at -31.606 eV per cell.

a b c (Å): 6.6497 6.6496 6.8324
angles (deg): 90.00 90.00 60.00
Last column: nearest neighbours and their distance in Å.
Atoms (fractional coordinates):
K: 0.0000 0.0000 0.0000  6 Cl 3.18
Cd: 0.3333 0.3333 0.5000  6 Cl 2.67
Ru: 0.6666 0.6667 0.5000  6 Cl 2.38
Cl: 0.9666 0.3833 0.2986  1 Ru 2.38
Cl: 0.3833 0.9666 0.7014  1 Ru 2.38
Cl: 0.6501 0.3833 0.7014  1 Ru 2.38
Cl: 0.9666 0.6501 0.7014  1 Ru 2.38
Cl: 0.3833 0.6501 0.2986  1 Ru 2.38
Cl: 0.6501 0.9666 0.2986  1 Ru 2.38

---

What did the ninth record say?
# La3PrCd4

A relaxed structure of La3PrCd4 (GGA-PBE, Alexandria).

Calculated values
The total magnetization comes out at 1.36 μB per cell. The total energy comes out at -25.818 eV per cell. The formation enthalpy at 0 K comes out at -31.3 kJ per mole of atoms.

a b c (Å): 3.9246 3.9246 15.7022
angles (deg): 90.00 90.00 90.00
Last column: nearest neighbours and their distance in Å.
Atoms (fractional coordinates):
Pr: 0.5000 0.5000 0.0000  8 Cd 3.36
Cd: 0.0000 0.0000 0.8789  4 Pr 3.36, 4 La 3.41
Cd: 0.0000 0.0000 0.1211  4 Pr 3.36, 4 La 3.41
Cd: 0.0000 0.0000 0.3741  8 La 3.41
Cd: 0.0000 0.0000 0.6259  8 La 3.41
La: 0.5000 0.5000 0.2478  8 Cd 3.41
La: 0.5000 0.5000 0.5000  8 Cd 3.41
La: 0.5000 0.5000 0.7522  8 Cd 3.41